Record 1
Computed, not measured: an optimized crystal structure of SmSi2Ru3 at the PBEsol level of DFT.

Unit cell a=5.5080 b=5.5080 c=3.6286 alpha=90.00 beta=90.00 gamma=120.00
Element x y z (fractional)
Sm 0.0000 0.0000 0.0000
Si 0.3333 0.6667 0.0000
Si 0.6667 0.3333 0.0000
Ru 0.0000 0.5000 0.5000
Ru 0.5000 0.0000 0.5000
Ru 0.5000 0.5000 0.5000

Output
**Size of the total moment**: 0.0 μB per formula unit
**Energy**: -8.5075 eV per atom
**Formation energy (no corrections)**: -63 kJ/mol of atoms
**Volume**: 15.9 A^3/atom
**Symmetry**: P6/mmm (191)

***

Record 2
Computed, not measured: an optimized crystal structure of SrSiRu2 at the PBEsol level of DFT.

Unit cell a=5.9176 b=8.6801 c=2.8524 alpha=90.00 beta=116.64 gamma=90.00
Element x y z (fractional)
Sr 0.0000 0.0000 0.0000
Sr 0.5000 0.5000 0.0000
Si 0.0000 0.5000 0.0000
Si 0.5000 0.0000 0.0000
Ru 0.2500 0.2500 0.5000
Ru 0.2500 0.7500 0.5000
Ru 0.7500 0.2500 0.5000
Ru 0.7500 0.7500 0.5000

Output
**Size of the total moment**: 0.0 μB per formula unit
**Energy**: -6.4151 eV per atom
**Formation energy (no corrections)**: 55 kJ/mol of atoms
**Volume**: 16.4 A^3/atom
**Symmetry**: C2/m (12)